No. 1
Computed, not measured: an optimized crystal structure of Rb4Pr3TmSe8 at the PBE-GGA level of DFT.

```
Rb4Pr3TmSe8
1.0
4.3569 2.5155 8.0236
-4.3569 2.5155 8.0236
0.0000 -5.0309 8.0236
Rb Pr Tm Se
4 3 1 8
Cartesian
0.0000 0.0000 0.0000 Rb
-2.1784 -1.2577 8.0236 Rb
-2.1784 1.2577 16.0472 Rb
0.0000 2.5155 8.0236 Rb
-4.3569 0.0000 12.0354 Pr
-2.1784 1.2577 4.0118 Pr
2.1784 1.2577 4.0118 Pr
0.0000 0.0000 12.0354 Tm
0.0000 0.0000 5.6471 Se
-2.1034 -1.2144 13.6273 Se
0.0000 -2.4288 10.4434 Se
-2.1034 1.2144 10.4434 Se
2.1034 -1.2144 13.6273 Se
0.0000 2.4288 13.6273 Se
2.1034 1.2144 10.4434 Se
0.0000 0.0000 18.4236 Se
```

Values from the calculation:
Space-group type: R-3m (166)
Formation energy from raw total energies: -1.7238 eV per atom

=====

No. 2
Computed, not measured: an optimized crystal structure of Rb2PrUSe4 at the PBE-GGA level of DFT.

```
Rb2PrUSe4
1.0
7.5162 0.0000 0.0000
0.0000 4.3435 0.0000
-2.5122 0.0000 8.0382
Rb Pr U Se
2 1 1 4
Cartesian
0.0000 0.0000 0.0000 Rb
3.7581 2.1717 0.0000 Rb
-1.2561 2.1717 4.0191 Pr
2.5020 0.0000 4.0191 U
0.0524 0.0000 5.6449 Se
1.3087 2.1717 2.4255 Se
3.6953 2.1717 5.6127 Se
4.9517 0.0000 2.3933 Se
```

Values from the calculation:
Space-group type: P2/m (10)
Formation energy from raw total energies: -1.4568 eV per atom

=====

No. 3
Computed, not measured: an optimized crystal structure of Rb2PrU2Se6 at the PBE-GGA level of DFT.

```
Rb2PrU2Se6
1.0
3.6724 -6.3979 0.0000
3.6724 6.3979 0.0000
-2.3976 0.0000 8.2000
Rb Pr U Se
2 1 2 6
Cartesian
3.6724 4.2958 0.0000 Rb
3.6724 -4.2958 0.0000 Rb
-1.1988 0.0000 4.1000 Pr
2.4736 2.1218 4.1000 U
2.4736 -2.1218 4.1000 U
0.0599 2.2157 5.6820 Se
1.3364 0.0000 2.5051 Se
0.0599 -2.2157 5.6820 Se
4.8873 2.2157 2.5180 Se
3.6108 0.0000 5.6948 Se
4.8873 -2.2157 2.5180 Se
```

Values from the calculation:
Space-group type: C2/m (12)
Formation energy from raw total energies: -1.4112 eV per atom